1.
Compound: Fe2HNF
Source: Alexandria
Functional: GGA+U
Structure: relaxed

Structure (CIF):
```
data_Fe2HNF
_chemical_formula_sum 'Fe2 H1 N1 F1'
_space_group_name_H-M_alt 'P 1'
_space_group_IT_number 1
_cell_length_a 4.160
_cell_length_b 3.734
_cell_length_c 4.160
_cell_angle_alpha 90.00
_cell_angle_beta 90.00
_cell_angle_gamma 90.00
loop_
_space_group_symop_operation_xyz
'x,y,z'
loop_
_atom_site_label
_atom_site_type_symbol
_atom_site_fract_x
_atom_site_fract_y
_atom_site_fract_z
H1 H 0.500 0.500 0.500
N1 N 0.000 0.500 0.000
Fe1 Fe 0.000 0.000 0.500
Fe2 Fe 0.500 0.000 0.000
F1 F 0.000 0.000 0.000
```

DFT total energy = -3.765 eV/atom

---

2.
Compound: FeHNF2
Source: Alexandria
Functional: GGA+U
Structure: relaxed

Structure (CIF):
```
data_FeHNF2
_chemical_formula_sum 'Fe1 H1 N1 F2'
_space_group_name_H-M_alt 'P 1'
_space_group_IT_number 1
_cell_length_a 3.945
_cell_length_b 3.945
_cell_length_c 4.099
_cell_angle_alpha 90.00
_cell_angle_beta 90.00
_cell_angle_gamma 90.00
loop_
_space_group_symop_operation_xyz
'x,y,z'
loop_
_atom_site_label
_atom_site_type_symbol
_atom_site_fract_x
_atom_site_fract_y
_atom_site_fract_z
H1 H 0.500 0.500 0.500
N1 N 0.000 0.000 0.500
Fe1 Fe 0.000 0.000 0.000
F1 F 0.000 0.500 0.000
F2 F 0.500 0.000 0.000
```

E above lowest polymorph = 0 meV per atom

---

3.
Compound: FeHNF2
Source: Alexandria
Functional: GGA+U
Structure: relaxed

Structure (CIF):
```
data_FeHNF2
_chemical_formula_sum 'Fe1 H1 N1 F2'
_space_group_name_H-M_alt 'P 1'
_space_group_IT_number 1
_cell_length_a 4.052
_cell_length_b 4.052
_cell_length_c 2.700
_cell_angle_alpha 90.00
_cell_angle_beta 90.00
_cell_angle_gamma 90.00
loop_
_space_group_symop_operation_xyz
'x,y,z'
loop_
_atom_site_label
_atom_site_type_symbol
_atom_site_fract_x
_atom_site_fract_y
_atom_site_fract_z
H1 H 0.000 0.000 0.000
N1 N 0.000 0.000 0.500
Fe1 Fe 0.500 0.500 0.500
F1 F 0.000 0.500 0.000
F2 F 0.500 0.000 0.000
```

E above lowest polymorph = 57 meV per atom

---

| no. | DOS at the Fermi energy (states/eV/cell) | magnetization (μB per formula unit) |
| --- | --- | --- |
| 1 | 1.19 | 7.8 |
| 2 | 0.14 | 4.0 |
| 3 | 0.35 | 6.0 |